Material: Nd2Y17
Method: DFT, PBE
State: optimized geometry

Cell: 8.8047 8.8047 8.8047 Å, 80.16 80.16 80.16°
Closest atoms and distances in Å follow each position.
Fractional coordinates of all 19 atoms:
Y1 0.0000 0.5000 0.0000  10 Y 3.37-3.49
Y2 0.7018 0.0000 0.2982  6 Y 3.35-3.41
Y3 0.6326 0.6326 0.1493  6 Y 3.32-3.37
Y4 0.3674 0.3674 0.8507  6 Y 3.32-3.37
Y5 0.6326 0.1493 0.6326  6 Y 3.32-3.37
Y6 0.7018 0.2982 0.0000  6 Y 3.35-3.41
Y7 0.0000 0.0000 0.5000  10 Y 3.37-3.49
Y8 0.9019 0.9019 0.9019  13 Y 3.47-3.80
Y9 0.0000 0.7018 0.2982  6 Y 3.35-3.41
Y10 0.3674 0.8507 0.3674  6 Y 3.32-3.37
Y11 0.2982 0.7018 0.0000  6 Y 3.35-3.41
Y12 0.1493 0.6326 0.6326  6 Y 3.32-3.37
Y13 0.0981 0.0981 0.0981  13 Y 3.47-3.80
Y14 0.5000 0.0000 0.0000  10 Y 3.37-3.49
Y15 0.2982 0.0000 0.7018  6 Y 3.35-3.41
Y16 0.8507 0.3674 0.3674  6 Y 3.32-3.37
Y17 0.0000 0.2982 0.7018  6 Y 3.35-3.41
Nd1 0.6741 0.6741 0.6741  16 Y 4.00-4.32
Nd2 0.3259 0.3259 0.3259  16 Y 4.00-4.32

Output
ΔH_f (0 K): 516 kJ/mol of formula units
Energy: -6.004 eV per atom
Fermi-level density of states: 2.17 states/eV per atom
Space-group type: No. 166

---

Material: Nd4Y
Method: DFT, PBE
State: optimized geometry

Cell: 3.6625 3.6625 15.0585 Å, 83.05 83.05 59.96°
Closest atoms and distances in Å follow each position.
Fractional coordinates of all 5 atoms:
Nd1 0.7999 0.7999 0.6009  12 Nd 3.66-3.69
Nd2 0.6013 0.6013 0.1969  3 Y 3.62, 9 Nd 3.66-3.69
Nd3 0.2001 0.2001 0.3991  12 Nd 3.66-3.69
Nd4 0.3987 0.3987 0.8030  3 Y 3.62, 9 Nd 3.66-3.69
Y1 0.0000 0.0000 0.0000  6 Nd 3.62, 6 Y 3.66

Output
ΔH_f (0 K): 4 kJ/mol of formula units
Energy: -5.098 eV per atom
Fermi-level density of states: 1.29 states/eV per atom
Space-group type: No. 166
Energy relative to the lowest polymorph listed for this composition: 0.000 eV per atom

---

Material: Nd2Y
Method: DFT, PBE
State: optimized geometry

Cell: 3.6498 3.6498 8.1520 Å, 102.94 102.94 90.00°
Closest atoms and distances in Å follow each position.
Fractional coordinates of all 3 atoms:
Nd1 0.3342 0.3342 0.6685  4 Y 3.64, 8 Nd 3.65-3.67
Nd2 0.6657 0.6658 0.3315  4 Y 3.64, 8 Nd 3.65-3.67
Y1 0.0000 0.0000 0.0000  8 Nd 3.64, 4 Y 3.65

Output
ΔH_f (0 K): 5 kJ/mol of formula units
Energy: -5.315 eV per atom
Fermi-level density of states: 1.56 states/eV per atom
Space-group type: No. 139
Energy relative to the lowest polymorph listed for this composition: 0.000 eV per atom

---

Material: Nd2Y5
Method: DFT, PBE
State: optimized geometry

Cell: 6.3584 9.3289 8.5737 Å, 95.40 111.77 90.00°
Closest atoms and distances in Å follow each position.
Fractional coordinates of all 14 atoms:
Y1 0.1663 0.7500 0.0000  6 Y 3.57-3.69, 6 Nd 3.58-3.68
Y2 0.8337 0.2500 0.0000  6 Y 3.57-3.69, 6 Nd 3.58-3.68
Y3 0.1199 0.6787 0.5712  9 Y 3.54-3.67, 3 Nd 3.56-3.67
Y4 0.0207 0.0349 0.7114  8 Y 3.53-3.69, 4 Nd 3.58-3.69
Y5 0.9793 0.9651 0.2886  8 Y 3.53-3.69, 4 Nd 3.58-3.69
Y6 0.5487 0.8213 0.4288  9 Y 3.54-3.67, 3 Nd 3.56-3.67
Y7 0.3093 0.4651 0.2886  8 Y 3.53-3.69, 4 Nd 3.58-3.69
Y8 0.4513 0.1787 0.5712  9 Y 3.54-3.67, 3 Nd 3.56-3.67
Y9 0.6907 0.5349 0.7114  8 Y 3.53-3.69, 4 Nd 3.58-3.69
Y10 0.8801 0.3213 0.4288  9 Y 3.54-3.67, 3 Nd 3.56-3.67
Nd1 0.2602 0.3924 0.8554  10 Y 3.56-3.69, 2 Nd 3.60-3.69
Nd2 0.4048 0.1076 0.1446  10 Y 3.56-3.69, 2 Nd 3.60-3.69
Nd3 0.7398 0.6076 0.1446  10 Y 3.56-3.69, 2 Nd 3.60-3.69
Nd4 0.5952 0.8924 0.8554  10 Y 3.56-3.69, 2 Nd 3.60-3.69

Output
ΔH_f (0 K): 6 kJ/mol of formula units
Energy: -5.971 eV per atom
Fermi-level density of states: 1.80 states/eV per atom
Space-group type: No. 15

---

Material: Nd6YZn
Method: DFT, PBE
State: optimized geometry

Cell: 9.5692 8.6122 6.4402 Å, 48.01 42.01 56.31°
Closest atoms and distances in Å follow each position.
Fractional coordinates of all 8 atoms:
Y1 0.5000 0.5000 0.5000  12 Nd 3.58-3.71
Nd1 0.2354 0.0466 0.2928  1 Zn 3.05, 1 Nd 3.37
Nd2 0.0469 0.4254 0.7633  1 Zn 3.05, 1 Nd 3.37
Nd3 0.9531 0.5746 0.2367  1 Zn 3.05, 1 Nd 3.37
Nd4 0.4249 0.7644 0.8572  1 Zn 3.05, 1 Nd 3.37
Nd5 0.7646 0.9534 0.7072  1 Zn 3.05, 1 Nd 3.37
Nd6 0.5751 0.2356 0.1428  1 Zn 3.05, 1 Nd 3.37
Zn1 0.0000 0.0000 0.0000  6 Nd 3.05

Output
ΔH_f (0 K): 20 kJ/mol of formula units
Energy: -4.517 eV per atom
Fermi-level density of states: 1.39 states/eV per atom
Space-group type: No. 2

---

Material: Nd2YZn2
Method: DFT, PBE
State: optimized geometry

Cell: 4.4101 4.5864 13.5947 Å, 100.00 90.00 90.00°
Closest atoms and distances in Å follow each position.
Fractional coordinates of all 10 atoms:
Zn1 0.2500 0.8352 0.6672  3 Nd 2.95-2.98, 4 Y 3.28-3.30
Zn2 0.7500 0.4749 0.9499  2 Zn 2.58
Zn3 0.7500 0.1648 0.3328  3 Nd 2.95-2.98, 4 Y 3.28-3.30
Zn4 0.2500 0.5251 0.0501  2 Zn 2.58
Y1 0.7500 0.3644 0.7297  5 Zn 2.95-3.30
Y2 0.2500 0.6356 0.2703  5 Zn 2.95-3.30
Nd1 0.2500 0.9432 0.8894  7 Zn 2.98-3.28
Nd2 0.7500 0.7356 0.4723  2 Zn 2.95-2.96, 4 Nd 3.27
Nd3 0.2500 0.2644 0.5277  2 Zn 2.95-2.96, 4 Nd 3.27
Nd4 0.7500 0.0568 0.1106  7 Zn 2.98-3.28

Output
ΔH_f (0 K): -73 kJ/mol of formula units
Energy: -3.860 eV per atom
Fermi-level density of states: 1.29 states/eV per atom
Space-group type: No. 11
Energy relative to the lowest polymorph listed for this composition: 0.097 eV per atom

---

Material: Nd2Y2Zn3
Method: DFT, PBE
State: optimized geometry

Cell: 5.0683 5.0618 8.8113 Å, 90.01 106.78 120.05°
Closest atoms and distances in Å follow each position.
Fractional coordinates of all 7 atoms:
Y1 0.7534 0.3766 0.1291  7 Zn 3.04-3.12
Y2 0.2466 0.6234 0.8709  7 Zn 3.04-3.12
Nd1 0.7454 0.8728 0.6197  5 Zn 3.16-3.18, 2 Nd 3.53
Nd2 0.2546 0.1272 0.3803  5 Zn 3.16-3.18, 2 Nd 3.53
Zn1 0.4915 0.7455 0.2363  4 Y 3.04-3.06, 4 Nd 3.16-3.18
Zn2 0.0000 0.0000 0.0000  6 Y 3.11-3.12, 2 Nd 3.16
Zn3 0.5085 0.2545 0.7637  4 Y 3.04-3.06, 4 Nd 3.16-3.18

Output
ΔH_f (0 K): -137 kJ/mol of formula units
Energy: -3.958 eV per atom
Fermi-level density of states: 1.38 states/eV per atom
Space-group type: No. 2

---

Material: NdY3Zn8
Method: DFT, PBE
State: optimized geometry

Cell: 5.5086 5.5086 9.5024 Å, 73.15 73.15 60.00°
Closest atoms and distances in Å follow each position.
Fractional coordinates of all 12 atoms:
Zn1 0.9407 0.4376 0.1842  6 Zn 2.72-2.77
Zn2 0.9374 0.4344 0.6909  6 Zn 2.73-2.77
Zn3 0.6873 0.6873 0.9382  6 Zn 2.72-2.73
Zn4 0.4376 0.4376 0.1842  6 Zn 2.72-2.77
Zn5 0.9374 0.9374 0.6909  6 Zn 2.73-2.77
Zn6 0.1877 0.1877 0.4369  6 Zn 2.76-2.77
Zn7 0.4344 0.9374 0.6909  6 Zn 2.73-2.77
Zn8 0.4376 0.9407 0.1842  6 Zn 2.72-2.77
Y1 0.9993 0.9993 0.0022  12 Zn 3.20-3.23, 1 Nd 3.35, 3 Y 3.39
Y2 0.3758 0.3758 0.8725  12 Zn 3.20-3.23, 4 Y 3.35-3.39
Y3 0.5005 0.5005 0.4985  12 Zn 3.23-3.25, 1 Y 3.35, 3 Nd 3.36
Nd1 0.8745 0.8745 0.3764  12 Zn 3.23-3.25, 4 Y 3.35-3.36

Output
ΔH_f (0 K): -388 kJ/mol of formula units
Energy: -3.197 eV per atom
Fermi-level density of states: 0.53 states/eV per atom
Space-group type: No. 160